Compound: TbPr2Ag2Sn2
Source: Alexandria via LeMat-Bulk
Functional: GGA-PBE
Structure: relaxed

Computed properties:
M_tot	0.00	μB per formula unit
ρ	7806	kg/m³
formation energy from the elements	-0.416	eV/atom

Cell lengths 4.8299, 4.8299, 9.8170 Å; angles 75.76, 75.76, 60.00 degrees
Positions (direct):
Sn 0.7347 0.7347 0.7959
Sn 0.2653 0.2653 0.2041
Tb 0.0000 0.0000 0.0000
Ag 0.6094 0.6094 0.1719
Ag 0.3906 0.3906 0.8281
Pr 0.1269 0.1269 0.6194
Pr 0.8731 0.8731 0.3806


Compound: Pr2AgSn3Te6
Source: Alexandria via LeMat-Bulk
Functional: GGA-PBE
Structure: relaxed

Computed properties:
formation energy (no corrections)	-0.618	eV/atom
M_tot	0.00	μB per formula unit
ρ	6389	kg/m³

Cell lengths 4.4478, 9.1310, 10.2430 Å; angles 104.33, 102.54, 90.00 degrees
Positions (direct):
Sn 0.1626 0.8434 0.3252
Sn 0.8374 0.1566 0.6748
Sn 0.5000 0.5000 0.0000
Ag 0.5000 0.0000 0.0000
Te 0.3276 0.9128 0.6552
Te 0.9983 0.7655 0.9966
Te 0.6667 0.5897 0.3334
Te 0.0017 0.2345 0.0034
Te 0.6724 0.0872 0.3448
Te 0.3333 0.4103 0.6666
Pr 0.8351 0.6639 0.6702
Pr 0.1649 0.3361 0.3298


Compound: PrAgSnTe3
Source: Alexandria via LeMat-Bulk
Functional: GGA-PBE
Structure: relaxed

Computed properties:
formation energy (no corrections)	-0.711	eV/atom
M_tot	0.00	μB per formula unit
ρ	6486	kg/m³

Cell lengths 4.3379, 9.1724, 9.8307 Å; angles 100.83, 90.00, 90.00 degrees
Positions (direct):
Te 0.7500 0.4056 0.1574
Te 0.7500 0.2480 0.4924
Te 0.2500 0.5944 0.8426
Te 0.2500 0.0917 0.8763
Te 0.2500 0.7520 0.5076
Te 0.7500 0.9083 0.1237
Ag 0.7500 0.9219 0.4195
Ag 0.2500 0.0781 0.5805
Pr 0.2500 0.1702 0.2393
Pr 0.7500 0.8298 0.7607
Sn 0.7500 0.3383 0.8413
Sn 0.2500 0.6617 0.1587


Compound: PrAgSn2Te4
Source: Alexandria via LeMat-Bulk
Functional: GGA-PBE
Structure: relaxed

Computed properties:
formation energy (no corrections)	-0.542	eV/atom
M_tot	0.00	μB per formula unit
ρ	6406	kg/m³

Cell lengths 4.4918, 7.9560, 7.6885 Å; angles 70.09, 90.00, 90.00 degrees
Positions (direct):
Sn 0.5000 0.0000 0.5000
Sn 0.0000 0.0000 0.0000
Te 0.0000 0.2614 0.2385
Te 0.5000 0.2491 0.7508
Te 0.5000 0.7509 0.2492
Te 0.0000 0.7386 0.7615
Pr 0.0000 0.5000 0.5000
Ag 0.5000 0.5000 0.0000


Compound: PrThAgSn
Source: Alexandria via LeMat-Bulk
Functional: GGA-PBE
Structure: relaxed

Computed properties:
M_tot	0.00	μB per formula unit
ρ	8887	kg/m³
formation energy from the elements	-0.363	eV/atom

Cell lengths 5.4109, 5.4109, 5.4109 Å; angles 60.00, 60.00, 60.00 degrees
Positions (direct):
Sn 0.0000 0.0000 0.0000
Ag 0.5000 0.5000 0.5000
Th 0.2500 0.2500 0.2500
Pr 0.7500 0.7500 0.7500


Compound: Pr2ThAg2Sn2
Source: Alexandria via LeMat-Bulk
Functional: GGA-PBE
Structure: relaxed

Computed properties:
M_tot	0.00	μB per formula unit
ρ	8263	kg/m³
formation energy from the elements	-0.339	eV/atom

Cell lengths 4.8714, 4.8714, 9.8654 Å; angles 75.71, 75.71, 60.00 degrees
Positions (direct):
Ag 0.6021 0.6021 0.1937
Ag 0.3979 0.3979 0.8063
Th 0.0000 0.0000 0.0000
Pr 0.1277 0.1277 0.6169
Pr 0.8723 0.8723 0.3831
Sn 0.7352 0.7352 0.7943
Sn 0.2648 0.2648 0.2057


M_tot of number 5 (PrThAgSn)?
0.00 μB per formula unit


Which formula does entry 1 have?
TbPr2Ag2Sn2